The following is a PBE calculation of Tb2Y2HoSc after structural relaxation, from Alexandria via LeMat-Bulk.

a = 6.958 Å, b = 5.533 Å, c = 9.550 Å
α = 90.00°, β = 90.00°, γ = 90.00°
Space group Pmma (No. 51)
One atom of each set of equivalent atoms:
Tb 0.250 0.000 0.151 (multiplicity 2)
Tb 0.250 0.500 0.683 (multiplicity 2)
Y 0.000 0.000 0.500 (multiplicity 2)
Y 0.250 0.500 0.342 (multiplicity 2)
Ho 0.000 0.500 0.000 (multiplicity 2)
Sc 0.250 0.000 0.823 (multiplicity 2)

Properties
Total DFT energy (no corrections) = -5.447 eV/atom
Volume = 30.63 A^3/atom
Fermi-level density of states = 22.24 states/eV per cell

The following is a PBE calculation of Dy12Y5Ho2 after structural relaxation, from Alexandria via LeMat-Bulk.

a = 6.017 Å, b = 9.696 Å, c = 11.203 Å
α = 70.19°, β = 82.85°, γ = 89.08°
Space group P-1 (No. 2)
One atom of each set of equivalent atoms:
Dy 0.040 0.187 0.155 (multiplicity 2)
Dy 0.076 0.815 0.544 (multiplicity 2)
Dy 0.163 0.819 0.227 (multiplicity 2)
Dy 0.384 0.405 0.287 (multiplicity 2)
Dy 0.426 0.318 0.605 (multiplicity 2)
Dy 0.429 0.681 0.987 (multiplicity 2)
Y 0.000 0.500 0.500 (multiplicity 1)
Y 0.104 0.462 0.844 (multiplicity 2)
Y 0.500 0.048 0.331 (multiplicity 2)
Ho 0.283 0.067 0.920 (multiplicity 2)

Properties
Volume = 32.10 A^3/atom
Fermi-level density of states = 29.89 states/eV per cell
Distance to the lowest polymorph of the same formula = 0.0 meV per atom

The following is a PBE calculation of PrHo10Th4 after structural relaxation, from Alexandria via LeMat-Bulk.

a = 9.562 Å, b = 9.562 Å, c = 11.115 Å
α = 90.00°, β = 90.00°, γ = 90.00°
Space group I4/m (No. 87)
One atom of each set of equivalent atoms:
Pr 0.000 0.000 0.000 (multiplicity 2)
Ho 0.000 0.500 0.250 (multiplicity 4)
Ho 0.125 0.222 0.166 (multiplicity 16)
Th 0.048 0.299 0.500 (multiplicity 8)

Properties
Total DFT energy (no corrections) = -4.839 eV/atom
Volume = 33.88 A^3/atom
Fermi-level density of states = 42.46 states/eV per cell

What did the second record say?
The following is a PBE calculation of Dy12Y5Ho2 after structural relaxation, from Alexandria via LeMat-Bulk.

a = 6.017 Å, b = 9.696 Å, c = 11.203 Å
α = 70.19°, β = 82.85°, γ = 89.08°
Space group P-1 (No. 2)
One atom of each set of equivalent atoms:
Dy 0.040 0.187 0.155 (multiplicity 2)
Dy 0.076 0.815 0.544 (multiplicity 2)
Dy 0.163 0.819 0.227 (multiplicity 2)
Dy 0.384 0.405 0.287 (multiplicity 2)
Dy 0.426 0.318 0.605 (multiplicity 2)
Dy 0.429 0.681 0.987 (multiplicity 2)
Y 0.000 0.500 0.500 (multiplicity 1)
Y 0.104 0.462 0.844 (multiplicity 2)
Y 0.500 0.048 0.331 (multiplicity 2)
Ho 0.283 0.067 0.920 (multiplicity 2)

Properties
Volume = 32.10 A^3/atom
Fermi-level density of states = 29.89 states/eV per cell
Distance to the lowest polymorph of the same formula = 0.0 meV per atom